(1)
{
  "formula": "Ta2BeAgOs",
  "functional": "GGA-PBE",
  "state": "optimized geometry",
  "space_group": "No. 123",
  "n_ef_per_ev_atom": 1.09,
  "dft_energy_ev_per_atom": -6.68,
  "lattice_angstrom": [[-1.900, -3.357, 2.814], [4.384, -2.548, -0.079], [1.466, 2.403, 3.856]],
  "species": ["Be", "Os", "Ag", "Ta", "Ta"],
  "frac_coords": [[0.500, 0.500, 0.500], [0.000, 0.000, 0.000], [0.000, 0.500, 0.000], [0.000, 0.000, 0.500], [0.500, 0.000, 0.000]]
}



(2)
{
  "formula": "Be2AgOsW",
  "functional": "GGA-PBE",
  "state": "optimized geometry",
  "space_group": "No. 123",
  "n_ef_per_ev_atom": 0.55,
  "dft_energy_ev_per_atom": -5.19,
  "lattice_angstrom": [[4.013, 0.000, 0.000], [0.000, 4.993, 0.000], [0.000, 0.000, 4.013]],
  "species": ["Be", "Be", "Os", "Ag", "W"],
  "frac_coords": [[0.000, 0.000, 0.500], [0.500, 0.000, 0.000], [0.500, 0.500, 0.500], [0.000, 0.000, 0.000], [0.000, 0.500, 0.000]]
}



(3)
{
  "formula": "BeAg2P",
  "functional": "GGA-PBE",
  "state": "optimized geometry",
  "relative_energy_mev_per_atom": 74.5,
  "space_group": "No. 99",
  "n_ef_per_ev_atom": 0.22,
  "dft_energy_ev_per_atom": -3.46,
  "lattice_angstrom": [[-2.575, -1.082, -1.018], [-0.331, -1.569, 2.504], [-3.339, 5.262, 2.855]],
  "species": ["P", "Ag", "Ag", "Be"],
  "frac_coords": [[0.500, 0.500, 0.684], [0.000, 0.000, 0.988], [0.500, 0.500, 0.289], [0.000, 0.000, 0.538]]
}



(4)
{
  "formula": "BeAg2P",
  "functional": "GGA-PBE",
  "state": "optimized geometry",
  "relative_energy_mev_per_atom": 91.8,
  "space_group": "No. 8",
  "n_ef_per_ev_atom": 0.29,
  "dft_energy_ev_per_atom": -3.44,
  "lattice_angstrom": [[-4.216, -1.813, 0.711], [-2.365, -3.807, 1.214], [-1.157, 0.277, 5.362]],
  "species": ["P", "Ag", "Ag", "Be"],
  "frac_coords": [[0.187, 0.187, 0.266], [0.987, 0.987, 0.996], [0.789, 0.789, 0.674], [0.537, 0.537, 0.564]]
}



(5)
{
  "formula": "BeAgP",
  "functional": "GGA-PBE",
  "state": "optimized geometry",
  "space_group": "No. 107",
  "n_ef_per_ev_atom": 0.26,
  "dft_energy_ev_per_atom": -3.66,
  "lattice_angstrom": [[6.136, 0.004, 0.000], [4.903, 3.690, 0.000], [-5.519, -1.847, 1.943]],
  "species": ["P", "Ag", "Be"],
  "frac_coords": [[0.704, 0.704, 0.000], [0.972, 0.972, 0.000], [0.324, 0.324, 0.000]]
}



(6)
{
  "formula": "BeAgP2",
  "functional": "GGA-PBE",
  "state": "optimized geometry",
  "space_group": "No. 44",
  "n_ef_per_ev_atom": 0.36,
  "dft_energy_ev_per_atom": -3.82,
  "lattice_angstrom": [[5.042, -0.002, 0.013], [1.782, 4.716, -0.013], [-2.740, -3.330, 2.612]],
  "species": ["P", "P", "Ag", "Be"],
  "frac_coords": [[0.013, 0.013, 0.000], [0.810, 0.310, 0.500], [0.462, 0.462, 0.000], [0.216, 0.716, 0.500]]
}



(7)
{
  "formula": "BeAgP",
  "functional": "GGA-PBE",
  "state": "optimized geometry",
  "space_group": "No. 62",
  "n_ef_per_ev_atom": 0.12,
  "dft_energy_ev_per_atom": -3.86,
  "lattice_angstrom": [[-0.088, -6.640, -5.184], [4.405, -0.904, 1.083], [-1.612, -3.086, 3.980]],
  "species": ["P", "P", "P", "P", "Ag", "Ag", "Ag", "Ag", "Be", "Be", "Be", "Be"],
  "frac_coords": [[0.349, 0.250, 0.282], [0.151, 0.750, 0.782], [0.651, 0.750, 0.718], [0.849, 0.250, 0.218], [0.602, 0.250, 0.912], [0.898, 0.750, 0.412], [0.398, 0.750, 0.088], [0.102, 0.250, 0.588], [0.000, 0.000, 0.000], [0.500, 0.500, 0.500], [0.500, 0.000, 0.500], [0.000, 0.500, 0.000]]
}



(8)
{
  "formula": "BeAg2P",
  "functional": "GGA-PBE",
  "state": "optimized geometry",
  "relative_energy_mev_per_atom": 179.4,
  "space_group": "No. 10",
  "n_ef_per_ev_atom": 0.27,
  "dft_energy_ev_per_atom": -3.35,
  "lattice_angstrom": [[-2.256, 1.920, 1.886], [-2.268, -1.418, -1.269], [-2.146, -5.400, 2.931]],
  "species": ["P", "Ag", "Ag", "Be"],
  "frac_coords": [[0.500, 0.750, 0.750], [0.000, 0.983, 0.017], [0.000, 0.517, 0.483], [0.500, 0.250, 0.250]]
}